# 1
# LaAgCl2

A relaxed LaAgCl2 crystal (PBE-GGA, Alexandria via LeMat-Bulk). Values from VASP.

Computed properties:
Space group: No. 160
ΔE_f (raw) in meV per atom: -1162
Total energy in eV/atom: -4.030
Total magnetic moment in μB per atom: 0.000

Quantum ESPRESSO input file:
```
&SYSTEM
  ibrav = 0, nat = 4, ntyp = 3
/
ATOMIC_SPECIES
La 138.91 La.upf
Cl 35.45 Cl.upf
Ag 107.87 Ag.upf
CELL_PARAMETERS angstrom
7.405 0.030 0.019
5.977 4.372 0.019
5.977 1.966 3.905
ATOMIC_POSITIONS crystal
La 0.489 0.489 0.489
Cl 0.222 0.222 0.222
Cl 0.038 0.038 0.038
Ag 0.751 0.751 0.751
```

---

# 2
# UV2C2

A relaxed UV2C2 crystal (PBE-GGA, Alexandria via LeMat-Bulk). Values from VASP.

Computed properties:
Space group: No. 70
Total energy in eV/atom: -9.771
Total magnetic moment in μB per atom: 0.245

Quantum ESPRESSO input file:
```
&SYSTEM
  ibrav = 0, nat = 10, ntyp = 3
/
ATOMIC_SPECIES
C 12.01 C.upf
V 50.94 V.upf
U 238.03 U.upf
CELL_PARAMETERS angstrom
-0.812 -3.343 4.246
0.720 -3.514 -4.123
4.320 3.384 0.722
ATOMIC_POSITIONS crystal
C 0.417 0.083 0.250
C 0.583 0.917 0.750
C 0.167 0.333 0.750
C 0.833 0.667 0.250
V 0.765 0.015 0.530
V 0.235 0.985 0.470
V 0.485 0.735 0.970
V 0.515 0.265 0.030
U 0.875 0.625 0.750
U 0.125 0.375 0.250
```

---

# 3
# LiTaNi2

A relaxed LiTaNi2 crystal (PBE-GGA, Alexandria via LeMat-Bulk). Values from VASP.

Computed properties:
Space group: No. 25
Total energy in eV/atom: -6.269
Total magnetic moment in μB per atom: 0.000

Quantum ESPRESSO input file:
```
&SYSTEM
  ibrav = 0, nat = 4, ntyp = 3
/
ATOMIC_SPECIES
Ni 58.69 Ni.upf
Li 6.94 Li.upf
Ta 180.95 Ta.upf
CELL_PARAMETERS angstrom
-1.836 1.521 -1.232
-1.495 -3.167 -1.680
-3.132 -0.603 3.923
ATOMIC_POSITIONS crystal
Ni 0.500 0.500 0.258
Ni 0.000 0.000 0.976
Li 0.500 0.500 0.791
Ta 0.000 0.000 0.474
```

---

# 4
# KYP2

A relaxed KYP2 crystal (PBE-GGA, Alexandria via LeMat-Bulk). Values from VASP.

Computed properties:
Space group: No. 12
Total energy in eV/atom: -5.363
Total magnetic moment in μB per atom: 0.000

Quantum ESPRESSO input file:
```
&SYSTEM
  ibrav = 0, nat = 4, ntyp = 3
/
ATOMIC_SPECIES
P 30.97 P.upf
Y 88.91 Y.upf
K 39.10 K.upf
CELL_PARAMETERS angstrom
4.131 -0.011 0.007
1.015 4.004 0.007
2.731 2.120 6.871
ATOMIC_POSITIONS crystal
P 0.088 0.088 0.900
P 0.412 0.412 0.600
Y 0.750 0.750 0.750
K 0.250 0.250 0.250
```

---

# 5
# CaSiBi2

A relaxed CaSiBi2 crystal (PBE-GGA, Alexandria via LeMat-Bulk). Values from VASP.

Computed properties:
Space group: No. 122
ΔE_f (raw) in meV per atom: -59
Total energy in eV/atom: -3.855
Total magnetic moment in μB per atom: 0.000

Quantum ESPRESSO input file:
```
&SYSTEM
  ibrav = 0, nat = 8, ntyp = 3
/
ATOMIC_SPECIES
Bi 208.98 Bi.upf
Si 28.09 Si.upf
Ca 40.08 Ca.upf
CELL_PARAMETERS angstrom
7.723 0.000 0.000
0.000 7.723 0.000
3.862 3.862 4.532
ATOMIC_POSITIONS crystal
Bi 0.875 0.814 0.750
Bi 0.375 0.436 0.750
Bi 0.186 0.625 0.250
Bi 0.564 0.125 0.250
Si 0.250 0.750 0.500
Si 0.500 0.500 0.000
Ca 0.750 0.250 0.500
Ca 0.000 0.000 0.000
```

---

# 6
# LiLa2InF

A relaxed LiLa2InF crystal (PBE-GGA, Alexandria via LeMat-Bulk). Values from VASP.

Computed properties:
Space group: No. 123
ΔE_f (raw) in meV per atom: -1277
Total energy in eV/atom: -4.553
Total magnetic moment in μB per atom: 0.000

Quantum ESPRESSO input file:
```
&SYSTEM
  ibrav = 0, nat = 5, ntyp = 4
/
ATOMIC_SPECIES
F 19.00 F.upf
La 138.91 La.upf
Li 6.94 Li.upf
In 114.82 In.upf
CELL_PARAMETERS angstrom
5.363 0.000 0.000
0.000 5.363 0.000
0.000 0.000 4.138
ATOMIC_POSITIONS crystal
F 0.000 0.000 0.000
La 0.000 0.500 0.000
La 0.500 0.000 0.000
Li 0.000 0.000 0.500
In 0.500 0.500 0.500
```

---

# 7
# LiTh2AlAu6

A relaxed LiTh2AlAu6 crystal (PBE-GGA, Alexandria via LeMat-Bulk). Values from VASP.

Computed properties:
Space group: No. 2
Total energy in eV/atom: -4.465
Total magnetic moment in μB per atom: 0.000

Quantum ESPRESSO input file:
```
&SYSTEM
  ibrav = 0, nat = 10, ntyp = 4
/
ATOMIC_SPECIES
Au 196.97 Au.upf
Th 232.04 Th.upf
Al 26.98 Al.upf
Li 6.94 Li.upf
CELL_PARAMETERS angstrom
-2.527 -8.082 1.914
4.598 -0.655 3.034
-1.134 -2.743 6.089
ATOMIC_POSITIONS crystal
Au 0.281 0.778 0.947
Au 0.285 0.284 0.936
Au 0.719 0.222 0.053
Au 0.715 0.716 0.064
Au 0.107 0.252 0.491
Au 0.893 0.748 0.509
Th 0.729 0.251 0.495
Th 0.271 0.749 0.505
Al 0.000 0.000 0.000
Li 0.500 0.500 0.000
```

---

# 8
# MnCoIr

A relaxed MnCoIr crystal (PBE-GGA, Alexandria via LeMat-Bulk). Values from VASP.

Computed properties:
Space group: No. 187
Total energy in eV/atom: -8.364
Total magnetic moment in μB per atom: 0.229

Quantum ESPRESSO input file:
```
&SYSTEM
  ibrav = 0, nat = 3, ntyp = 3
/
ATOMIC_SPECIES
Co 58.93 Co.upf
Ir 192.22 Ir.upf
Mn 54.94 Mn.upf
CELL_PARAMETERS angstrom
-1.785 2.493 2.641
-1.526 -3.692 -0.647
1.494 -0.952 1.908
ATOMIC_POSITIONS crystal
Co 0.000 0.000 0.834
Ir 0.667 0.333 0.333
Mn 0.333 0.667 0.833
```

---

Q: What is the formula in the first record?
A: LaAgCl2